Entry w
## LiYTeOs (PBE)

Data for a relaxed LiYTeOs crystal.

Properties
Total moment: 0.002 μB per formula unit
Calculated volume: 18.34 Å³/atom
Crystal system: cubic
Density: 9.36 g cm⁻³

Cell lengths 4.699, 4.699, 4.699 Å; angles 60.00, 60.00, 60.00 degrees
Sites, in units of the cell vectors:
Li: 0.000 0.000 0.000
Y: 0.750 0.750 0.750
Te: 0.250 0.250 0.250
Os: 0.500 0.500 0.500


Entry x
## LiYTeOs (PBE)

Data for a relaxed LiYTeOs crystal.

Properties
Total moment: 0.004 μB per formula unit
Calculated volume: 18.76 Å³/atom
Crystal system: cubic
Density: 9.15 g cm⁻³

Cell lengths 4.735, 4.735, 4.735 Å; angles 60.00, 60.00, 60.00 degrees
Sites, in units of the cell vectors:
Li: 0.000 0.000 0.000
Y: 0.750 0.750 0.750
Te: 0.500 0.500 0.500
Os: 0.250 0.250 0.250


Entry y
## LiYTeOs (PBE)

Data for a relaxed LiYTeOs crystal.

Properties
Total moment: 0.041 μB per formula unit
Calculated volume: 20.14 Å³/atom
Crystal system: cubic
Density: 8.53 g cm⁻³

Cell lengths 4.847, 4.847, 4.847 Å; angles 60.00, 60.00, 60.00 degrees
Sites, in units of the cell vectors:
Li: 0.000 0.000 0.000
Y: 0.500 0.500 0.500
Te: 0.250 0.250 0.250
Os: 0.750 0.750 0.750


The structures above, arranged from the most stable to the least stable: entry w, entry x, entry y.